<P>
First-principles (PBE) data for a relaxed CuBr2Cl2 crystal, as listed in Alexandria.

Lattice parameters (Å, degrees): 6.2329 6.2329 8.3807 90.00 90.00 90.00
Element x y z (fractional)
Cu (0.0000, 0.0000, 0.0000)
Cu (0.5000, 0.5000, 0.0000)
Br (0.1325, 0.3675, 0.5000)
Br (0.3675, 0.8675, 0.5000)
Br (0.6325, 0.1325, 0.5000)
Br (0.8675, 0.6325, 0.5000)
Cl (0.1823, 0.6823, 0.0000)
Cl (0.3177, 0.1823, 0.0000)
Cl (0.6823, 0.8177, 0.0000)
Cl (0.8177, 0.3177, 0.0000)

Computed properties:
- crystal system = tetragonal
- density of states at the Fermi level (states/eV/f.u.) = 1.36
- V (Å³ per atom) = 32.56


<Q>
First-principles (PBE) data for a relaxed CuBr2Cl2 crystal, as listed in Alexandria.

Lattice parameters (Å, degrees): 6.5899 6.5899 7.9382 90.00 90.00 90.00
Element x y z (fractional)
Cu (0.0000, 0.0000, 0.0000)
Cu (0.5000, 0.5000, 0.0000)
Br (0.1755, 0.3245, 0.0000)
Br (0.3245, 0.8245, 0.0000)
Br (0.6755, 0.1755, 0.0000)
Br (0.8245, 0.6755, 0.0000)
Cl (0.1071, 0.6071, 0.5000)
Cl (0.3929, 0.1071, 0.5000)
Cl (0.6071, 0.8929, 0.5000)
Cl (0.8929, 0.3929, 0.5000)

Computed properties:
- crystal system = tetragonal
- density of states at the Fermi level (states/eV/f.u.) = 0.23
- V (Å³ per atom) = 34.47


Relative energies, meV/atom: <P> 0; <Q> 84.


<P>
First-principles (PBE) data for a relaxed CuBrCl4 crystal, as listed in Alexandria.

Lattice parameters (Å, degrees): 3.5234 6.8378 7.8372 103.60 98.25 100.62
Element x y z (fractional)
Cu (0.0000, 0.0000, 0.0000)
Br (0.0026, 0.5027, 0.5050)
Cl (0.2485, 0.2039, 0.4619)
Cl (0.4317, 0.7875, 0.0268)
Cl (0.5698, 0.2139, 0.9765)
Cl (0.7561, 0.8022, 0.5488)

Computed properties:
- crystal system = triclinic
- density of states at the Fermi level (states/eV/f.u.) = 2.91
- V (Å³ per atom) = 29.48


<Q>
First-principles (PBE) data for a relaxed CuBrCl4 crystal, as listed in Alexandria.

Lattice parameters (Å, degrees): 9.3781 9.3781 6.0821 91.71 91.71 134.69
Element x y z (fractional)
Cu (0.0499, 0.9501, 0.7500)
Cu (0.9501, 0.0499, 0.2500)
Br (0.3525, 0.6475, 0.2500)
Br (0.6475, 0.3525, 0.7500)
Cl (0.0313, 0.3378, 0.1090)
Cl (0.1382, 0.2284, 0.5792)
Cl (0.2284, 0.1382, 0.0792)
Cl (0.3378, 0.0313, 0.6090)
Cl (0.6622, 0.9687, 0.3910)
Cl (0.7716, 0.8618, 0.9208)
Cl (0.8618, 0.7716, 0.4208)
Cl (0.9687, 0.6622, 0.8910)

Computed properties:
- crystal system = monoclinic
- density of states at the Fermi level (states/eV/f.u.) = 3.61
- V (Å³ per atom) = 31.60


Relative energies, meV/atom: <P> 45; <Q> 0.


<P>
First-principles (PBE) data for a relaxed Cu3BrCl3 crystal, as listed in Alexandria.

Lattice parameters (Å, degrees): 7.7617 6.9293 7.7780 90.00 119.88 90.00
Element x y z (fractional)
Cu (0.1561, 0.2500, 0.3447)
Cu (0.1574, 0.2500, 0.8147)
Cu (0.3126, 0.7500, 0.6555)
Cu (0.6874, 0.2500, 0.3445)
Cu (0.8426, 0.7500, 0.1853)
Cu (0.8439, 0.7500, 0.6553)
Br (0.3334, 0.2500, 0.1675)
Br (0.6666, 0.7500, 0.8325)
Cl (0.1692, 0.7500, 0.3300)
Cl (0.1698, 0.7500, 0.8392)
Cl (0.3395, 0.2500, 0.6700)
Cl (0.6605, 0.7500, 0.3300)
Cl (0.8302, 0.2500, 0.1608)
Cl (0.8308, 0.2500, 0.6700)

Computed properties:
- crystal system = monoclinic
- density of states at the Fermi level (states/eV/f.u.) = 6.14
- V (Å³ per atom) = 25.91


<Q>
First-principles (PBE) data for a relaxed Cu3BrCl3 crystal, as listed in Alexandria.

Lattice parameters (Å, degrees): 10.3043 10.3043 3.8739 90.00 90.00 120.00
Element x y z (fractional)
Cu (0.1690, 0.7741, 0.2500)
Cu (0.2259, 0.3949, 0.2500)
Cu (0.3949, 0.1690, 0.7500)
Cu (0.6051, 0.8310, 0.2500)
Cu (0.7741, 0.6051, 0.7500)
Cu (0.8310, 0.2259, 0.7500)
Br (0.3333, 0.6667, 0.2500)
Br (0.6667, 0.3333, 0.7500)
Cl (0.0337, 0.7106, 0.7500)
Cl (0.2894, 0.3231, 0.7500)
Cl (0.3231, 0.0337, 0.2500)
Cl (0.6769, 0.9663, 0.7500)
Cl (0.7106, 0.6769, 0.2500)
Cl (0.9663, 0.2894, 0.2500)

Computed properties:
- crystal system = hexagonal
- density of states at the Fermi level (states/eV/f.u.) = 7.95
- V (Å³ per atom) = 25.44


Relative energies, meV/atom: <P> 37; <Q> 0.


<P>
First-principles (PBE) data for a relaxed NaCuBr2Cl crystal, as listed in Alexandria.

Lattice parameters (Å, degrees): 5.3368 5.3368 6.8282 90.00 90.00 90.00
Element x y z (fractional)
Na (0.0000, 0.0000, 0.0000)
Cu (0.0000, 0.0000, 0.5000)
Br (0.0000, 0.5000, 0.0000)
Br (0.5000, 0.0000, 0.0000)
Cl (0.5000, 0.5000, 0.5000)

Computed properties:
- crystal system = tetragonal
- density of states at the Fermi level (states/eV/f.u.) = 4.30
- V (Å³ per atom) = 38.90


<Q>
First-principles (PBE) data for a relaxed NaCuBr2Cl crystal, as listed in Alexandria.

Lattice parameters (Å, degrees): 5.1635 5.1635 4.6895 90.00 90.00 90.00
Element x y z (fractional)
Na (0.0000, 0.0000, 0.0000)
Cu (0.5000, 0.5000, 0.5000)
Br (0.0000, 0.5000, 0.5000)
Br (0.5000, 0.0000, 0.5000)
Cl (0.5000, 0.5000, 0.0000)

Computed properties:
- crystal system = tetragonal
- density of states at the Fermi level (states/eV/f.u.) = 1.66
- V (Å³ per atom) = 25.01


Relative energies, meV/atom: <P> 995; <Q> 0.


<P>
First-principles (PBE) data for a relaxed Na2CuBr2Cl2 crystal, as listed in Alexandria.

Lattice parameters (Å, degrees): 5.2806 5.2806 6.0411 90.00 90.00 90.00
Element x y z (fractional)
Na (0.0000, 0.5000, 0.0000)
Na (0.5000, 0.0000, 0.0000)
Cu (0.0000, 0.0000, 0.5000)
Br (0.0000, 0.5000, 0.5000)
Br (0.5000, 0.0000, 0.5000)
Cl (0.0000, 0.0000, 0.0000)
Cl (0.5000, 0.5000, 0.0000)

Computed properties:
- crystal system = tetragonal
- density of states at the Fermi level (states/eV/f.u.) = 7.95
- V (Å³ per atom) = 24.06


<Q>
First-principles (PBE) data for a relaxed Na2CuBr2Cl2 crystal, as listed in Alexandria.

Lattice parameters (Å, degrees): 4.7875 4.7875 15.2294 90.00 90.00 90.00
Element x y z (fractional)
Na (0.0000, 0.0000, 0.1327)
Na (0.0000, 0.0000, 0.8673)
Na (0.5000, 0.5000, 0.3673)
Na (0.5000, 0.5000, 0.6327)
Cu (0.0000, 0.0000, 0.5000)
Cu (0.5000, 0.5000, 0.0000)
Br (0.0000, 0.0000, 0.3300)
Br (0.0000, 0.0000, 0.6700)
Br (0.5000, 0.5000, 0.1700)
Br (0.5000, 0.5000, 0.8300)
Cl (0.0000, 0.5000, 0.0000)
Cl (0.0000, 0.5000, 0.5000)
Cl (0.5000, 0.0000, 0.0000)
Cl (0.5000, 0.0000, 0.5000)

Computed properties:
- crystal system = tetragonal
- density of states at the Fermi level (states/eV/f.u.) = 2.88
- V (Å³ per atom) = 24.93


Relative energies, meV/atom: <P> 70; <Q> 0.


<P>
First-principles (PBE) data for a relaxed Rb2CuBr2Cl2 crystal, as listed in Alexandria.

Lattice parameters (Å, degrees): 8.9573 11.1935 6.7710 90.00 131.10 90.00
Element x y z (fractional)
Rb (0.0000, 0.2489, 0.0000)
Rb (0.0000, 0.7511, 0.0000)
Rb (0.5000, 0.2511, 0.0000)
Rb (0.5000, 0.7489, 0.0000)
Cu (0.0000, 0.5000, 0.5000)
Cu (0.5000, 0.0000, 0.5000)
Br (0.2414, 0.5000, 0.9845)
Br (0.2586, 0.0000, 0.0155)
Br (0.7414, 0.0000, 0.9845)
Br (0.7586, 0.5000, 0.0155)
Cl (0.0000, 0.2969, 0.5000)
Cl (0.0000, 0.7031, 0.5000)
Cl (0.5000, 0.2031, 0.5000)
Cl (0.5000, 0.7969, 0.5000)

Computed properties:
- crystal system = monoclinic
- density of states at the Fermi level (states/eV/f.u.) = 0.53
- V (Å³ per atom) = 36.54


<Q>
First-principles (PBE) data for a relaxed Rb2CuBr2Cl2 crystal, as listed in Alexandria.

Lattice parameters (Å, degrees): 9.0932 9.0932 7.3796 90.00 90.00 47.91
Element x y z (fractional)
Rb (0.1328, 0.1328, 0.0000)
Rb (0.3672, 0.3672, 0.5000)
Rb (0.6328, 0.6328, 0.5000)
Rb (0.8672, 0.8672, 0.0000)
Cu (0.0000, 0.0000, 0.5000)
Cu (0.5000, 0.5000, 0.0000)
Br (0.1537, 0.1537, 0.5000)
Br (0.3463, 0.3463, 0.0000)
Br (0.6537, 0.6537, 0.0000)
Br (0.8463, 0.8463, 0.5000)
Cl (0.2165, 0.7835, 0.7165)
Cl (0.2835, 0.7165, 0.2165)
Cl (0.7165, 0.2835, 0.7835)
Cl (0.7835, 0.2165, 0.2835)

Computed properties:
- crystal system = orthorhombic
- density of states at the Fermi level (states/eV/f.u.) = 0.03
- V (Å³ per atom) = 32.35


Relative energies, meV/atom: <P> 0; <Q> 5.


<P>
First-principles (PBE) data for a relaxed CuSe2BrCl crystal, as listed in Alexandria.

Lattice parameters (Å, degrees): 4.7304 4.7304 7.1662 90.00 90.00 90.00
Element x y z (fractional)
Cu (0.0000, 0.0000, 0.0000)
Se (0.0000, 0.5000, 0.5000)
Se (0.5000, 0.0000, 0.5000)
Br (0.5000, 0.5000, 0.0000)
Cl (0.5000, 0.5000, 0.5000)

Computed properties:
- crystal system = tetragonal
- density of states at the Fermi level (states/eV/f.u.) = 4.90
- V (Å³ per atom) = 32.07


<Q>
First-principles (PBE) data for a relaxed CuSe2BrCl crystal, as listed in Alexandria.

Lattice parameters (Å, degrees): 4.9048 4.9048 4.6018 90.00 90.00 90.00
Element x y z (fractional)
Cu (0.0000, 0.0000, 0.0000)
Se (0.0000, 0.5000, 0.0000)
Se (0.5000, 0.0000, 0.0000)
Br (0.5000, 0.5000, 0.5000)
Cl (0.0000, 0.0000, 0.5000)

Computed properties:
- crystal system = tetragonal
- density of states at the Fermi level (states/eV/f.u.) = 4.36
- V (Å³ per atom) = 22.14


Relative energies, meV/atom: <P> 602; <Q> 0.


<P>
First-principles (PBE) data for a relaxed ErBrCl2 crystal, as listed in Alexandria.

Lattice parameters (Å, degrees): 3.7934 14.3245 8.6495 90.00 90.00 90.00
Element x y z (fractional)
Er (0.0000, 0.2418, 0.2500)
Er (0.0000, 0.7582, 0.7500)
Er (0.5000, 0.2582, 0.7500)
Er (0.5000, 0.7418, 0.2500)
Br (0.0000, 0.4010, 0.7500)
Br (0.0000, 0.5990, 0.2500)
Br (0.5000, 0.0990, 0.2500)
Br (0.5000, 0.9010, 0.7500)
Cl (0.0000, 0.1684, 0.5723)
Cl (0.0000, 0.1684, 0.9277)
Cl (0.0000, 0.8316, 0.0723)
Cl (0.0000, 0.8316, 0.4277)
Cl (0.5000, 0.3316, 0.0723)
Cl (0.5000, 0.3316, 0.4277)
Cl (0.5000, 0.6684, 0.5723)
Cl (0.5000, 0.6684, 0.9277)

Computed properties:
- crystal system = orthorhombic
- density of states at the Fermi level (states/eV/f.u.) = 0.00
- V (Å³ per atom) = 29.38


<Q>
First-principles (PBE) data for a relaxed ErBrCl2 crystal, as listed in Alexandria.

Lattice parameters (Å, degrees): 7.6811 11.5242 7.0003 90.00 118.42 90.00
Element x y z (fractional)
Er (0.0000, 0.0908, 0.0000)
Er (0.0000, 0.9092, 0.5000)
Er (0.5000, 0.4092, 0.5000)
Er (0.5000, 0.5908, 0.0000)
Br (0.2276, 0.0839, 0.7868)
Br (0.2276, 0.9161, 0.2868)
Br (0.7276, 0.4161, 0.2868)
Br (0.7276, 0.5839, 0.7868)
Cl (0.2443, 0.2500, 0.2584)
Cl (0.2443, 0.7500, 0.7584)
Cl (0.2935, 0.4328, 0.7090)
Cl (0.2935, 0.5672, 0.2090)
Cl (0.7443, 0.2500, 0.7584)
Cl (0.7443, 0.7500, 0.2584)
Cl (0.7935, 0.0672, 0.2090)
Cl (0.7935, 0.9328, 0.7090)

Computed properties:
- crystal system = monoclinic
- density of states at the Fermi level (states/eV/f.u.) = 0.00
- V (Å³ per atom) = 34.06


Relative energies, meV/atom: <P> 39; <Q> 0.